The following is a SCAN calculation of a crystal of AlGaReSb2 relaxed with PBEsol, from Alexandria via LeMat-Bulk.

```
data_AlGaReSb2
_chemical_formula_sum 'Al1 Ga1 Re1 Sb2'
_symmetry_space_group_name_H-M 'P 4/m m m'
_symmetry_Int_Tables_number 123
_symmetry_space_group_name_Hall '-P 4 2'
_cell_length_a 5.153
_cell_length_b 5.153
_cell_length_c 4.570
_cell_angle_alpha 90.00
_cell_angle_beta 90.00
_cell_angle_gamma 90.00
loop_
_atom_site_label
_atom_site_type_symbol
_atom_site_fract_x
_atom_site_fract_y
_atom_site_fract_z
Al1 Al 0.000 0.000 0.000
Ga1 Ga 0.000 0.000 0.500
Re1 Re 0.500 0.500 0.500
Sb1 Sb 0.000 0.500 0.000
```


# AlGa3Rh, PBEsol geometry, DFT SCAN
# calculated formation energy: 14 meV per atom
data_AlGa3Rh
_chemical_formula_sum 'Al1 Ga3 Rh1'
_symmetry_space_group_name_H-M 'P m -3 m'
_symmetry_Int_Tables_number 221
_symmetry_space_group_name_Hall '-P 4 2 3'
_cell_length_a 4.708
_cell_length_b 4.708
_cell_length_c 4.708
_cell_angle_alpha 90.00
_cell_angle_beta 90.00
_cell_angle_gamma 90.00
loop_
_atom_site_label
_atom_site_type_symbol
_atom_site_fract_x
_atom_site_fract_y
_atom_site_fract_z
Al1 Al 0.000 0.000 0.000
Ga1 Ga 0.000 0.500 0.500
Rh1 Rh 0.500 0.500 0.500


# AlGaRh3, PBEsol geometry, DFT SCAN
# calculated formation energy: 463 meV per atom
data_AlGaRh3
_chemical_formula_sum 'Al1 Ga1 Rh3'
_symmetry_space_group_name_H-M 'P m -3 m'
_symmetry_Int_Tables_number 221
_symmetry_space_group_name_Hall '-P 4 2 3'
_cell_length_a 4.418
_cell_length_b 4.418
_cell_length_c 4.418
_cell_angle_alpha 90.00
_cell_angle_beta 90.00
_cell_angle_gamma 90.00
loop_
_atom_site_label
_atom_site_type_symbol
_atom_site_fract_x
_atom_site_fract_y
_atom_site_fract_z
Al1 Al 0.000 0.000 0.000
Ga1 Ga 0.500 0.500 0.500
Rh1 Rh 0.000 0.500 0.500


# AlGaTcRh2, PBEsol geometry, DFT SCAN
# calculated formation energy: 974 meV per atom
data_AlGaTcRh2
_chemical_formula_sum 'Al1 Ga1 Tc1 Rh2'
_symmetry_space_group_name_H-M 'P 4/m m m'
_symmetry_Int_Tables_number 123
_symmetry_space_group_name_Hall '-P 4 2'
_cell_length_a 4.594
_cell_length_b 4.594
_cell_length_c 4.674
_cell_angle_alpha 90.00
_cell_angle_beta 90.00
_cell_angle_gamma 90.00
loop_
_atom_site_label
_atom_site_type_symbol
_atom_site_fract_x
_atom_site_fract_y
_atom_site_fract_z
Al1 Al 0.000 0.000 0.000
Ga1 Ga 0.500 0.500 0.000
Tc1 Tc 0.500 0.500 0.500
Rh1 Rh 0.000 0.500 0.500


# Al2GaRu2, PBEsol geometry, DFT SCAN
# calculated formation energy: 182 meV per atom
data_Al2GaRu2
_chemical_formula_sum 'Al4 Ga2 Ru4'
_symmetry_space_group_name_H-M 'I 4/m m m'
_symmetry_Int_Tables_number 139
_symmetry_space_group_name_Hall '-I 4 2'
_cell_length_a 3.674
_cell_length_b 3.674
_cell_length_c 12.151
_cell_angle_alpha 90.00
_cell_angle_beta 90.00
_cell_angle_gamma 90.00
loop_
_atom_site_label
_atom_site_type_symbol
_atom_site_fract_x
_atom_site_fract_y
_atom_site_fract_z
Al1 Al 0.000 0.000 0.107
Ga1 Ga 0.000 0.000 0.500
Ru1 Ru 0.000 0.500 0.250


# AlZnGa2Ru, PBEsol geometry, DFT SCAN
# calculated formation energy: 1126 meV per atom
data_AlZnGa2Ru
_chemical_formula_sum 'Al1 Zn1 Ga2 Ru1'
_symmetry_space_group_name_H-M 'P 4/m m m'
_symmetry_Int_Tables_number 123
_symmetry_space_group_name_Hall '-P 4 2'
_cell_length_a 4.671
_cell_length_b 4.671
_cell_length_c 4.538
_cell_angle_alpha 90.00
_cell_angle_beta 90.00
_cell_angle_gamma 90.00
loop_
_atom_site_label
_atom_site_type_symbol
_atom_site_fract_x
_atom_site_fract_y
_atom_site_fract_z
Al1 Al 0.000 0.000 0.000
Zn1 Zn 0.000 0.000 0.500
Ga1 Ga 0.000 0.500 0.000
Ru1 Ru 0.500 0.500 0.500


The following is a SCAN calculation of a crystal of Al2GaS relaxed with PBEsol, from Alexandria via LeMat-Bulk.

```
data_Al2GaS
_chemical_formula_sum 'Al8 Ga4 S4'
_symmetry_space_group_name_H-M 'F m -3 m'
_symmetry_Int_Tables_number 225
_symmetry_space_group_name_Hall '-F 4 2 3'
_cell_length_a 6.386
_cell_length_b 6.386
_cell_length_c 6.386
_cell_angle_alpha 90.00
_cell_angle_beta 90.00
_cell_angle_gamma 90.00
loop_
_atom_site_label
_atom_site_type_symbol
_atom_site_fract_x
_atom_site_fract_y
_atom_site_fract_z
Al1 Al 0.250 0.250 0.250
Ga1 Ga 0.000 0.000 0.000
S1 S 0.000 0.000 0.500
```


The following is a SCAN calculation of a crystal of AlGa2Sb relaxed with PBEsol, from Alexandria via LeMat-Bulk.

```
data_AlGa2Sb
_chemical_formula_sum 'Al4 Ga8 Sb4'
_symmetry_space_group_name_H-M 'F m -3 m'
_symmetry_Int_Tables_number 225
_symmetry_space_group_name_Hall '-F 4 2 3'
_cell_length_a 6.869
_cell_length_b 6.869
_cell_length_c 6.869
_cell_angle_alpha 90.00
_cell_angle_beta 90.00
_cell_angle_gamma 90.00
loop_
_atom_site_label
_atom_site_type_symbol
_atom_site_fract_x
_atom_site_fract_y
_atom_site_fract_z
Al1 Al 0.000 0.000 0.000
Ga1 Ga 0.250 0.250 0.250
Sb1 Sb 0.000 0.000 0.500
```


Here are the calculated total DFT energy (no corrections) numbers, same order: -32.45, -18.10, -24.62, -24.37, -20.12, -16.63, -10.19, -19.19 (eV per atom).